#i
# PBE-GGA La2MgBi4, optimized geometry
data_La2MgBi4
_cell_length_a 5.477
_cell_length_b 5.477
_cell_length_c 9.138
_cell_angle_alpha 72.56
_cell_angle_beta 72.56
_cell_angle_gamma 90.00
_symmetry_space_group_name_H-M 'P 1'
_symmetry_Int_Tables_number 1
loop_
_symmetry_equiv_pos_as_xyz
'x,y,z'
loop_
_atom_site_label
_atom_site_type_symbol
_atom_site_fract_x
_atom_site_fract_y
_atom_site_fract_z
Mg1 Mg 0.000 0.000 0.000
Bi1 Bi 0.179 0.179 0.642
Bi2 Bi 0.821 0.821 0.358
Bi3 Bi 0.000 0.500 0.000
Bi4 Bi 0.500 0.000 0.000
La1 La 0.374 0.374 0.251
La2 La 0.626 0.626 0.749
# **SG**: I4/mmm, No. 139

#ii
# PBE-GGA La2MgBi4, optimized geometry
data_La2MgBi4
_cell_length_a 4.607
_cell_length_b 4.607
_cell_length_c 10.885
_cell_angle_alpha 90.00
_cell_angle_beta 90.00
_cell_angle_gamma 90.00
_symmetry_space_group_name_H-M 'P 1'
_symmetry_Int_Tables_number 1
loop_
_symmetry_equiv_pos_as_xyz
'x,y,z'
loop_
_atom_site_label
_atom_site_type_symbol
_atom_site_fract_x
_atom_site_fract_y
_atom_site_fract_z
La1 La 0.500 0.000 0.742
La2 La 0.000 0.500 0.258
Mg1 Mg 0.500 0.500 0.000
Bi1 Bi 0.500 0.000 0.169
Bi2 Bi 0.000 0.500 0.831
Bi3 Bi 0.500 0.500 0.500
Bi4 Bi 0.000 0.000 0.500
# **SG**: P-4m2, No. 115

Which structure loses on stability? #i does.

#i
# PBE-GGA LaMg3Bi, optimized geometry
data_LaMg3Bi
_cell_length_a 5.533
_cell_length_b 5.533
_cell_length_c 5.533
_cell_angle_alpha 90.00
_cell_angle_beta 90.00
_cell_angle_gamma 90.00
_symmetry_space_group_name_H-M 'P 1'
_symmetry_Int_Tables_number 1
loop_
_symmetry_equiv_pos_as_xyz
'x,y,z'
loop_
_atom_site_label
_atom_site_type_symbol
_atom_site_fract_x
_atom_site_fract_y
_atom_site_fract_z
Mg1 Mg 0.000 0.500 0.000
Mg2 Mg 0.000 0.000 0.500
Mg3 Mg 0.500 0.000 0.000
Bi1 Bi 0.000 0.000 0.000
La1 La 0.500 0.500 0.500
# **SG**: Pm-3m, No. 221

#ii
# PBE-GGA LaMg3Bi, optimized geometry
data_LaMg3Bi
_cell_length_a 5.875
_cell_length_b 5.875
_cell_length_c 5.875
_cell_angle_alpha 90.00
_cell_angle_beta 90.00
_cell_angle_gamma 90.00
_symmetry_space_group_name_H-M 'P 1'
_symmetry_Int_Tables_number 1
loop_
_symmetry_equiv_pos_as_xyz
'x,y,z'
loop_
_atom_site_label
_atom_site_type_symbol
_atom_site_fract_x
_atom_site_fract_y
_atom_site_fract_z
Mg1 Mg 0.000 0.500 0.000
Mg2 Mg 0.000 0.000 0.500
Mg3 Mg 0.500 0.000 0.000
Bi1 Bi 0.500 0.500 0.500
La1 La 0.000 0.000 0.000
# **SG**: Pm-3m, No. 221

Which structure loses on stability? #ii does.